# SrSi2OsRh (PBE-GGA, optimized geometry)
data_SrSi2OsRh
_chemical_formula_sum 'Sr2 Si4 Os2 Rh2'
_cell_length_a 4.205
_cell_length_b 4.205
_cell_length_c 10.320
_cell_angle_alpha 90.00
_cell_angle_beta 90.00
_cell_angle_gamma 90.00
_symmetry_space_group_name_H-M 'I -4 m 2'
_symmetry_Int_Tables_number 119
_symmetry_space_group_name_Hall 'I -4 -2'
loop_
_atom_site_label
_atom_site_type_symbol
_atom_site_fract_x
_atom_site_fract_y
_atom_site_fract_z
Sr1 Sr 0.000 0.000 0.000
Si1 Si 0.000 0.000 0.363
Os1 Os 0.000 0.500 0.250
Rh1 Rh 0.000 0.500 0.750
# **Total moment**: 0.00 μB per cell
# **Uncorrected formation energy**: -0.72 eV per atom
# **V**: 182.5 Å³/cell